# 1
Here is a relaxed InGeCl3 crystal from the Alexandria database. Energies are from PBEsol.

Cell: 7.2545 7.2545 7.2545 Å, 62.65 62.65 62.65°
Closest atoms and distances in Å follow each position.
Element x y z (fractional)
Cl1 0.7915 0.1487 0.3069  1 Ge 2.42
Cl2 0.3069 0.7915 0.1487  1 Ge 2.42
Cl3 0.8069 0.6487 0.2915  1 Ge 2.42
Cl4 0.1487 0.3069 0.7915  1 Ge 2.42
Cl5 0.6487 0.2915 0.8069  1 Ge 2.42
Cl6 0.2915 0.8069 0.6487  1 Ge 2.42
Ge1 0.5033 0.5033 0.5033  3 Cl 2.42
Ge2 0.0033 0.0033 0.0033  3 Cl 2.42
In1 0.7212 0.7212 0.7212  6 Cl 3.13-3.22
In2 0.2212 0.2212 0.2212  6 Cl 3.13-3.22

Calculated values
Energy relative to the elements, uncorrected: -0.763 eV per atom
Total DFT energy (no corrections): -3.552 eV per atom
Symmetry: R3c

=====

# 2
Here is a relaxed Li2CuPb crystal from the Alexandria database. Energies are from PBEsol.

Cell: 3.2539 3.4525 5.9289 Å, 90.00 90.00 90.00°
Closest atoms and distances in Å follow each position.
Element x y z (fractional)
Li1 0.0000 0.0000 0.7187  1 Li 2.59, 4 Cu 2.70, 4 Pb 2.90
Li2 0.0000 0.0000 0.2813  1 Li 2.59, 4 Cu 2.70, 4 Pb 2.90
Pb1 0.5000 0.5000 0.0000  8 Li 2.90, 2 Cu 2.96
Cu1 0.5000 0.5000 0.5000  8 Li 2.70, 2 Pb 2.96

Calculated values
Total DFT energy (no corrections): -3.125 eV per atom
Symmetry: Pmmm

=====

# 3
Here is a relaxed Fe2SiNi crystal from the Alexandria database. Energies are from PBEsol.

Cell: 3.4358 3.4358 4.3779 Å, 113.10 113.10 90.00°
Closest atoms and distances in Å follow each position.
Element x y z (fractional)
Si1 0.0000 0.0000 0.0000  4 Ni 2.43, 8 Fe 2.50
Fe1 0.2500 0.7500 0.5000  4 Fe 2.43, 4 Ni 2.50, 4 Si 2.50
Fe2 0.7500 0.2500 0.5000  4 Fe 2.43, 4 Ni 2.50, 4 Si 2.50
Ni1 0.5000 0.5000 0.0000  4 Si 2.43, 8 Fe 2.50

Calculated values
Energy relative to the elements, uncorrected: -0.362 eV per atom
Total DFT energy (no corrections): -7.820 eV per atom
Symmetry: I4/mmm

=====

Question: What is the formula in the second record?
Answer: Li2CuPb

=====

Copy entry 1 word for word.
Here is a relaxed InGeCl3 crystal from the Alexandria database. Energies are from PBEsol.

Cell: 7.2545 7.2545 7.2545 Å, 62.65 62.65 62.65°
Closest atoms and distances in Å follow each position.
Element x y z (fractional)
Cl1 0.7915 0.1487 0.3069  1 Ge 2.42
Cl2 0.3069 0.7915 0.1487  1 Ge 2.42
Cl3 0.8069 0.6487 0.2915  1 Ge 2.42
Cl4 0.1487 0.3069 0.7915  1 Ge 2.42
Cl5 0.6487 0.2915 0.8069  1 Ge 2.42
Cl6 0.2915 0.8069 0.6487  1 Ge 2.42
Ge1 0.5033 0.5033 0.5033  3 Cl 2.42
Ge2 0.0033 0.0033 0.0033  3 Cl 2.42
In1 0.7212 0.7212 0.7212  6 Cl 3.13-3.22
In2 0.2212 0.2212 0.2212  6 Cl 3.13-3.22

Calculated values
Energy relative to the elements, uncorrected: -0.763 eV per atom
Total DFT energy (no corrections): -3.552 eV per atom
Symmetry: R3c

=====

Question: The lowest total DFT energy (no corrections) belongs to which entry?
Answer: Fe2SiNi